# 1
# Ag2Mo (PBE, relaxed)
# uncorrected energy = -0.1690 hartree per atom
# formation energy = 0.912 eV per atom
# distance to the lowest polymorph of the same formula = 0.521 eV/atom
data_Ag2Mo
_chemical_formula_sum 'Ag4 Mo2'
_space_group_name_H-M_alt 'P 1'
_space_group_IT_number 1
_cell_length_a 4.611
_cell_length_b 4.611
_cell_length_c 5.658
_cell_angle_alpha 90.00
_cell_angle_beta 90.00
_cell_angle_gamma 120.00
loop_
_space_group_symop_operation_xyz
'x,y,z'
loop_
_atom_site_label
_atom_site_type_symbol
_atom_site_fract_x
_atom_site_fract_y
_atom_site_fract_z
_atom_site_occupancy
Ag1 Ag 0.000 0.000 0.000 1
Ag2 Ag 0.000 0.000 0.500 1
Ag3 Ag 0.333 0.667 0.250 1
Ag4 Ag 0.667 0.333 0.750 1
Mo1 Mo 0.333 0.667 0.750 1
Mo2 Mo 0.667 0.333 0.250 1


# 2
# LaNdSO2 (PBE, relaxed)
# uncorrected energy = -0.2855 hartree per atom
# ΔE_f (raw) = -3.0204 eV per atom
data_LaNdSO2
_chemical_formula_sum 'La1 Nd1 S1 O2'
_space_group_name_H-M_alt 'P 1'
_space_group_IT_number 1
_cell_length_a 3.943
_cell_length_b 3.943
_cell_length_c 6.855
_cell_angle_alpha 106.71
_cell_angle_beta 106.71
_cell_angle_gamma 90.00
loop_
_space_group_symop_operation_xyz
'x,y,z'
loop_
_atom_site_label
_atom_site_type_symbol
_atom_site_fract_x
_atom_site_fract_y
_atom_site_fract_z
_atom_site_occupancy
La1 La 0.850 0.850 0.700 1
Nd1 Nd 0.150 0.150 0.300 1
S1 S 0.503 0.503 0.006 1
O1 O 0.749 0.249 0.497 1
O2 O 0.249 0.749 0.497 1


# 3
# Mn2ReTc (PBE, relaxed)
# uncorrected energy = -0.3718 hartree per atom
# formation energy = 0.171 eV per atom
data_Mn2ReTc
_chemical_formula_sum 'Mn2 Re1 Tc1'
_space_group_name_H-M_alt 'P 1'
_space_group_IT_number 1
_cell_length_a 8.692
_cell_length_b 8.692
_cell_length_c 8.692
_cell_angle_alpha 17.59
_cell_angle_beta 17.59
_cell_angle_gamma 17.59
loop_
_space_group_symop_operation_xyz
'x,y,z'
loop_
_atom_site_label
_atom_site_type_symbol
_atom_site_fract_x
_atom_site_fract_y
_atom_site_fract_z
_atom_site_occupancy
Mn1 Mn 0.000 0.000 0.000 1
Mn2 Mn 0.500 0.500 0.500 1
Re1 Re 0.250 0.250 0.250 1
Tc1 Tc 0.750 0.750 0.750 1


# 4
# Rb3TlRe2O8 (PBE, relaxed)
# uncorrected energy = -0.2415 hartree per atom
# ΔE_f (raw) = -1.5848 eV per atom
data_Rb3TlRe2O8
_chemical_formula_sum 'Rb3 Tl1 Re2 O8'
_space_group_name_H-M_alt 'P 1'
_space_group_IT_number 1
_cell_length_a 6.456
_cell_length_b 6.456
_cell_length_c 8.527
_cell_angle_alpha 90.00
_cell_angle_beta 90.00
_cell_angle_gamma 120.00
loop_
_space_group_symop_operation_xyz
'x,y,z'
loop_
_atom_site_label
_atom_site_type_symbol
_atom_site_fract_x
_atom_site_fract_y
_atom_site_fract_z
_atom_site_occupancy
Rb1 Rb 0.333 0.667 0.669 1
Rb2 Rb 0.667 0.333 0.331 1
Rb3 Rb 0.000 0.000 0.000 1
Tl1 Tl 0.000 0.000 0.500 1
Re1 Re 0.333 0.667 0.196 1
Re2 Re 0.667 0.333 0.804 1
O1 O 0.333 0.667 0.987 1
O2 O 0.667 0.333 0.013 1
O3 O 0.183 0.817 0.275 1
O4 O 0.817 0.183 0.725 1
O5 O 0.183 0.366 0.275 1
O6 O 0.817 0.634 0.725 1
O7 O 0.634 0.817 0.275 1
O8 O 0.366 0.183 0.725 1


# 5
# CuGeBiB2 (PBE, relaxed)
# uncorrected energy = -0.1098 hartree per atom
# formation energy = 2.201 eV per atom
data_CuGeBiB2
_chemical_formula_sum 'Cu1 Ge1 Bi1 B2'
_space_group_name_H-M_alt 'P 1'
_space_group_IT_number 1
_cell_length_a 4.636
_cell_length_b 5.776
_cell_length_c 4.636
_cell_angle_alpha 90.00
_cell_angle_beta 90.00
_cell_angle_gamma 90.00
loop_
_space_group_symop_operation_xyz
'x,y,z'
loop_
_atom_site_label
_atom_site_type_symbol
_atom_site_fract_x
_atom_site_fract_y
_atom_site_fract_z
_atom_site_occupancy
Ge1 Ge 0.000 0.500 0.000 1
B1 B 0.000 0.000 0.500 1
B2 B 0.500 0.000 0.000 1
Bi1 Bi 0.000 0.000 0.000 1
Cu1 Cu 0.500 0.500 0.500 1


# 6
# KPd2F (PBE, relaxed)
# uncorrected energy = -0.1309 hartree per atom
# distance to the lowest polymorph of the same formula = 0.000 eV/atom
# ΔE_f (raw) = -0.2222 eV per atom
data_KPd2F
_chemical_formula_sum 'K2 Pd4 F2'
_space_group_name_H-M_alt 'P 1'
_space_group_IT_number 1
_cell_length_a 5.286
_cell_length_b 5.286
_cell_length_c 8.230
_cell_angle_alpha 71.27
_cell_angle_beta 71.27
_cell_angle_gamma 90.00
loop_
_space_group_symop_operation_xyz
'x,y,z'
loop_
_atom_site_label
_atom_site_type_symbol
_atom_site_fract_x
_atom_site_fract_y
_atom_site_fract_z
_atom_site_occupancy
K1 K 0.000 0.000 0.000 1
K2 K 0.750 0.250 0.500 1
Pd1 Pd 0.372 0.125 0.250 1
Pd2 Pd 0.378 0.625 0.250 1
Pd3 Pd 0.375 0.628 0.750 1
Pd4 Pd 0.875 0.622 0.750 1
F1 F 0.500 0.500 0.000 1
F2 F 0.250 0.750 0.500 1


# 7
# ZrAlCr2 (PBE, relaxed)
# uncorrected energy = -0.2898 hartree per atom
# formation energy = -0.003 eV per atom
data_ZrAlCr2
_chemical_formula_sum 'Zr1 Al1 Cr2'
_space_group_name_H-M_alt 'P 1'
_space_group_IT_number 1
_cell_length_a 5.187
_cell_length_b 5.187
_cell_length_c 4.429
_cell_angle_alpha 64.78
_cell_angle_beta 64.78
_cell_angle_gamma 35.14
loop_
_space_group_symop_operation_xyz
'x,y,z'
loop_
_atom_site_label
_atom_site_type_symbol
_atom_site_fract_x
_atom_site_fract_y
_atom_site_fract_z
_atom_site_occupancy
Cr1 Cr 0.026 0.026 0.975 1
Cr2 Cr 0.720 0.720 0.780 1
Al1 Al 0.266 0.266 0.233 1
Zr1 Zr 0.488 0.488 0.512 1


# 8
# Nb4SnTe8 (PBE, relaxed)
# uncorrected energy = -0.2086 hartree per atom
# ΔE_f (raw) = -0.3372 eV per atom
data_Nb4SnTe8
_chemical_formula_sum 'Nb4 Sn1 Te8'
_space_group_name_H-M_alt 'P 1'
_space_group_IT_number 1
_cell_length_a 7.373
_cell_length_b 7.376
_cell_length_c 9.402
_cell_angle_alpha 89.88
_cell_angle_beta 113.22
_cell_angle_gamma 119.90
loop_
_space_group_symop_operation_xyz
'x,y,z'
loop_
_atom_site_label
_atom_site_type_symbol
_atom_site_fract_x
_atom_site_fract_y
_atom_site_fract_z
_atom_site_occupancy
Nb1 Nb 0.000 0.000 0.000 1
Nb2 Nb 0.000 0.500 0.000 1
Nb3 Nb 0.500 0.500 0.000 1
Nb4 Nb 0.500 0.000 0.000 1
Sn1 Sn 0.000 0.500 0.500 1
Te1 Te 0.480 0.740 0.221 1
Te2 Te 0.520 0.260 0.779 1
Te3 Te 0.481 0.240 0.221 1
Te4 Te 0.019 0.261 0.779 1
Te5 Te 0.519 0.760 0.779 1
Te6 Te 0.020 0.760 0.779 1
Te7 Te 0.980 0.240 0.221 1
Te8 Te 0.981 0.739 0.221 1


# 9
# Ce6SbPb (PBE, relaxed)
# uncorrected energy = -0.2108 hartree per atom
# distance to the lowest polymorph of the same formula = 0.113 eV/atom
# ΔE_f (raw) = -0.3060 eV per atom
data_Ce6SbPb
_chemical_formula_sum 'Ce6 Sb1 Pb1'
_space_group_name_H-M_alt 'P 1'
_space_group_IT_number 1
_cell_length_a 8.416
_cell_length_b 7.690
_cell_length_c 5.995
_cell_angle_alpha 49.87
_cell_angle_beta 47.89
_cell_angle_gamma 62.90
loop_
_space_group_symop_operation_xyz
'x,y,z'
loop_
_atom_site_label
_atom_site_type_symbol
_atom_site_fract_x
_atom_site_fract_y
_atom_site_fract_z
_atom_site_occupancy
Ce1 Ce 0.985 0.550 0.756 1
Ce2 Ce 0.748 0.956 0.754 1
Ce3 Ce 0.488 0.216 0.247 1
Ce4 Ce 0.252 0.044 0.246 1
Ce5 Ce 0.015 0.450 0.244 1
Ce6 Ce 0.512 0.784 0.753 1
Sb1 Sb 0.500 0.500 0.500 1
Pb1 Pb 0.000 0.000 0.000 1


# 10
# AcPmPr2H (PBE, relaxed)
# uncorrected energy = -0.1661 hartree per atom
data_AcPmPr2H
_chemical_formula_sum 'Ac1 Pm1 Pr2 H1'
_space_group_name_H-M_alt 'P 1'
_space_group_IT_number 1
_cell_length_a 5.275
_cell_length_b 5.290
_cell_length_c 5.290
_cell_angle_alpha 90.00
_cell_angle_beta 90.00
_cell_angle_gamma 90.00
loop_
_space_group_symop_operation_xyz
'x,y,z'
loop_
_atom_site_label
_atom_site_type_symbol
_atom_site_fract_x
_atom_site_fract_y
_atom_site_fract_z
_atom_site_occupancy
Ac1 Ac 0.500 0.500 0.500 1
Pm1 Pm 0.500 0.000 0.000 1
Pr1 Pr 0.000 0.000 0.500 1
Pr2 Pr 0.000 0.500 0.000 1
H1 H 0.000 0.000 0.000 1


> uncorrected energy of number 9 (Ce6SbPb)?

-0.2108 hartree per atom


> The lowest uncorrected energy belongs to which entry?

Mn2ReTc


Please write out number 4 again, unchanged.
# Rb3TlRe2O8 (PBE, relaxed)
# uncorrected energy = -0.2415 hartree per atom
# ΔE_f (raw) = -1.5848 eV per atom
data_Rb3TlRe2O8
_chemical_formula_sum 'Rb3 Tl1 Re2 O8'
_space_group_name_H-M_alt 'P 1'
_space_group_IT_number 1
_cell_length_a 6.456
_cell_length_b 6.456
_cell_length_c 8.527
_cell_angle_alpha 90.00
_cell_angle_beta 90.00
_cell_angle_gamma 120.00
loop_
_space_group_symop_operation_xyz
'x,y,z'
loop_
_atom_site_label
_atom_site_type_symbol
_atom_site_fract_x
_atom_site_fract_y
_atom_site_fract_z
_atom_site_occupancy
Rb1 Rb 0.333 0.667 0.669 1
Rb2 Rb 0.667 0.333 0.331 1
Rb3 Rb 0.000 0.000 0.000 1
Tl1 Tl 0.000 0.000 0.500 1
Re1 Re 0.333 0.667 0.196 1
Re2 Re 0.667 0.333 0.804 1
O1 O 0.333 0.667 0.987 1
O2 O 0.667 0.333 0.013 1
O3 O 0.183 0.817 0.275 1
O4 O 0.817 0.183 0.725 1
O5 O 0.183 0.366 0.275 1
O6 O 0.817 0.634 0.725 1
O7 O 0.634 0.817 0.275 1
O8 O 0.366 0.183 0.725 1